# Li2ZnCuH5

Li2ZnCuH5 after structural relaxation (PBE, Alexandria).

Unit cell a=2.768 b=7.031 c=9.516 alpha=90.00 beta=90.00 gamma=101.35
Atoms (fractional coordinates):
Li 0.223 0.445 0.369
Li 0.777 0.555 0.869
Zn 0.552 0.104 0.892
H 0.449 0.898 0.220
H 0.658 0.316 0.976
Cu 0.227 0.455 0.099
H 0.012 0.024 0.450
Zn 0.448 0.896 0.392
H 0.342 0.684 0.476
H 0.278 0.555 0.711
H 0.677 0.354 0.496
Cu 0.773 0.545 0.599
H 0.722 0.445 0.211
H 0.988 0.976 0.950
H 0.551 0.102 0.720
H 0.323 0.646 0.996
Li 0.897 0.793 0.112
Li 0.103 0.207 0.612

## Properties
- VASP energy (eV/atom) = -2.98